First-principles (meta-GGA SCAN) data for a crystal of LiTi2V3O12 relaxed with PBEsol, as listed in Alexandria via LeMat-Bulk.

Summary:
**Energy relative to the lowest polymorph listed for this composition**: 1.02 kJ per mole of atoms
**Symmetry**: P1
**Total magnetization**: 0.0 μB/cell
**Final energy**: -11.7664 eV per atom
**Fermi-level density of states**: 0.000 states/eV per atom
**Formation energy (no corrections)**: -2.78 eV/atom

Cell and atoms, written as extended XYZ:
```
72
Lattice="8.884 0.000 0.000 -0.003 9.069 0.000 -0.079 -0.011 12.460" Properties=species:S:1:pos:R:3 pbc="T T T"
Li 0.000 0.000 0.000
Li -0.004 3.834 7.971
Li 1.202 6.205 6.018
Li 2.225 1.618 7.564
Ti 1.591 3.968 11.457
Ti 1.649 7.924 8.462
Ti 1.696 3.380 5.140
Ti 1.808 8.487 2.252
Ti 6.000 8.503 11.460
Ti 6.034 3.505 8.522
Ti 6.109 8.008 5.176
Ti 6.147 4.003 2.227
V 0.423 2.621 1.905
V 0.425 0.196 5.490
V 2.850 4.706 8.195
V 2.867 7.214 11.733
V 3.631 5.955 3.865
V 4.186 1.442 3.613
V 4.866 0.214 8.131
V 4.855 2.729 11.697
V 7.373 4.766 5.552
V 7.417 7.241 1.952
V 8.031 5.971 10.070
V 8.607 1.420 9.789
O 0.056 5.181 11.277
O 0.149 4.432 6.024
O 0.196 7.323 2.272
O 0.171 7.066 9.202
O 0.502 2.467 10.873
O 0.604 0.949 1.606
O 0.806 3.038 3.537
O 0.837 8.060 6.649
O 0.948 1.750 6.033
O 0.979 0.620 8.889
O 1.258 8.900 4.067
O 1.379 3.527 0.796
O 1.771 4.313 9.437
O 1.874 8.108 0.319
O 2.330 5.159 4.730
O 2.375 6.267 7.645
O 2.507 3.529 7.002
O 2.577 7.659 10.119
O 2.633 5.540 11.869
O 2.927 7.094 2.771
O 3.194 0.719 2.400
O 3.222 2.518 4.572
O 3.198 8.999 7.803
O 3.201 2.915 11.290
O 4.505 4.627 8.623
O 4.496 7.572 12.111
O 4.576 4.882 2.985
O 4.606 6.730 4.996
O 4.855 0.289 4.655
O 5.099 1.917 8.034
O 5.274 3.723 0.588
O 5.250 8.775 9.686
O 5.274 1.101 12.023
O 5.421 2.316 2.895
O 5.811 8.416 7.008
O 5.849 3.216 10.407
O 6.370 3.960 6.684
O 6.525 7.775 3.284
O 6.770 6.831 10.772
O 6.924 5.640 1.634
O 7.033 4.241 3.998
O 7.148 8.279 0.581
O 7.206 6.461 5.624
O 7.446 4.843 8.911
O 7.639 0.147 5.216
O 7.698 3.012 1.630
O 7.710 0.344 10.758
O 7.730 2.310 8.629
```